Compound: Fe2OsO2
Source: Alexandria via LeMat-Bulk
Functional: PBE with a Hubbard U
Structure: relaxed

## Properties
Crystal system: tetragonal
E, hartree per atom: -0.225
ρ, Mg/m³: 9.4
D(E_F), states/eV per cell: 5.8
Space group: P4/mbm (127)

Unit cell a=6.7466 b=6.7466 c=2.5821 alpha=90.00 beta=90.00 gamma=90.00
Fractional positions:
Fe1 0.1449 0.3551 0.0000
Fe2 0.3551 0.8551 0.0000
Fe3 0.6449 0.1449 0.0000
Fe4 0.8551 0.6449 0.0000
Os1 0.0000 0.0000 0.0000
Os2 0.5000 0.5000 0.0000
O1 0.1372 0.6372 0.5000
O2 0.3628 0.1372 0.5000
O3 0.6372 0.8628 0.5000
O4 0.8628 0.3628 0.5000



Compound: VRhO2
Source: Alexandria via LeMat-Bulk
Functional: PBE with a Hubbard U
Structure: relaxed

## Properties
Crystal system: cubic
E, hartree per atom: -0.236
ρ, Mg/m³: 7.3
D(E_F), states/eV per cell: 2.4
Space group: Fm-3m (225)

Unit cell a=3.9122 b=3.9122 c=3.9122 alpha=60.00 beta=60.00 gamma=60.00
Fractional positions:
V1 0.0000 0.0000 0.0000
Rh1 0.5000 0.5000 0.5000
O1 0.2500 0.2500 0.2500
O2 0.7500 0.7500 0.7500